#P
The following is a PBE-GGA calculation of a geometry-optimized RbEuBr2 structure, from Alexandria.

Geometry as POSCAR:
```
RbEuBr2
1.0
3.932 0.000 0.000
0.000 3.932 0.000
0.000 0.000 8.439
Rb Eu Br
1 1 2
Cartesian
0.000 0.000 0.000
0.000 0.000 4.219
1.966 1.966 2.330
1.966 1.966 6.108
```

Output
As for the size of the total moment: 7.86 μB/cell. As for the calculated volume: 130 Å³/cell.

#Q
The following is a PBE-GGA calculation of a geometry-optimized RbEuBr2 structure, from Alexandria.

Geometry as POSCAR:
```
RbEuBr2
1.0
2.316 1.337 10.580
-2.316 1.337 10.580
0.000 -2.674 10.580
Rb Eu Br
1 1 2
Cartesian
0.000 0.000 0.000
0.000 0.000 15.869
0.000 0.000 3.737
0.000 0.000 28.002
```

Output
As for the size of the total moment: 7.12 μB/cell. As for the calculated volume: 197 Å³/cell.

Stability ranking, top and bottom: #Q is the most stable and #P is the least stable.

#P
The following is a PBE-GGA calculation of a geometry-optimized Eu2RhBr structure, from Alexandria.

Geometry as POSCAR:
```
Eu2RhBr
1.0
3.579 0.000 0.000
0.000 3.579 0.000
0.000 0.000 7.988
Eu Rh Br
2 1 1
Cartesian
0.000 0.000 1.732
0.000 0.000 6.256
1.790 1.790 0.000
1.790 1.790 3.994
```

Output
As for the size of the total moment: 14.06 μB/cell. As for the calculated volume: 102 Å³/cell.

#Q
The following is a PBE-GGA calculation of a geometry-optimized Eu2RhBr structure, from Alexandria.

Geometry as POSCAR:
```
Eu2RhBr
1.0
2.085 1.204 7.690
-2.085 1.204 7.690
0.000 -2.408 7.690
Eu Rh Br
2 1 1
Cartesian
0.000 0.000 5.445
0.000 0.000 17.626
0.000 0.000 11.536
0.000 0.000 0.000
```

Output
As for the size of the total moment: 13.88 μB/cell. As for the calculated volume: 116 Å³/cell.

Stability ranking, top and bottom: #Q is the most stable and #P is the least stable.

#P
The following is a PBE-GGA calculation of a geometry-optimized Eu2ZnBr structure, from Alexandria.

Geometry as POSCAR:
```
Eu2ZnBr
1.0
2.119 1.223 8.073
-2.119 1.223 8.073
0.000 -2.446 8.073
Eu Zn Br
2 1 1
Cartesian
0.000 0.000 5.938
0.000 0.000 18.280
0.000 0.000 12.109
0.000 0.000 0.000
```

Output
As for the size of the total moment: 15.13 μB/cell. As for the calculated volume: 126 Å³/cell.

#Q
The following is a PBE-GGA calculation of a geometry-optimized Eu2ZnBr structure, from Alexandria.

Geometry as POSCAR:
```
Eu2ZnBr
1.0
3.728 0.000 0.000
0.000 3.728 0.000
0.000 0.000 8.267
Eu Zn Br
2 1 1
Cartesian
0.000 0.000 1.881
0.000 0.000 6.386
1.864 1.864 0.000
1.864 1.864 4.133
```

Output
As for the size of the total moment: 14.83 μB/cell. As for the calculated volume: 115 Å³/cell.

Stability ranking, top and bottom: #P is the most stable and #Q is the least stable.

#P
The following is a PBE-GGA calculation of a geometry-optimized BrF2 structure, from Alexandria.

Geometry as POSCAR:
```
BrF2
1.0
4.542 0.000 0.000
0.553 4.923 0.000
0.874 2.360 6.060
Br F
2 4
Cartesian
0.000 0.000 0.000
2.084 3.592 1.763
0.803 3.884 3.029
2.191 3.608 5.770
3.013 2.521 2.943
3.597 3.389 0.347
```

Output
As for the size of the total moment: 0.00 μB/cell. As for the calculated volume: 136 Å³/cell.

#Q
The following is a PBE-GGA calculation of a geometry-optimized BrF2 structure, from Alexandria.

Geometry as POSCAR:
```
BrF2
1.0
2.886 0.000 0.000
0.458 4.192 0.000
1.336 0.721 4.410
Br F
1 2
Cartesian
0.000 0.000 0.000
1.811 3.532 3.143
2.868 1.381 1.267
```

Output
As for the size of the total moment: 0.00 μB/cell. As for the calculated volume: 53 Å³/cell.

Stability ranking, top and bottom: #P is the most stable and #Q is the least stable.

#P
The following is a PBE-GGA calculation of a geometry-optimized BrF5 structure, from Alexandria.

Geometry as POSCAR:
```
BrF5
1.0
3.482 -3.832 0.000
3.482 3.832 0.000
0.000 0.000 7.601
Br F
2 10
Cartesian
3.482 2.528 3.800
3.482 -2.528 0.000
3.482 3.782 2.416
1.818 1.388 7.515
3.482 1.330 2.519
3.482 1.140 4.956
1.818 -1.388 3.715
5.146 1.388 7.515
3.482 -1.140 1.155
3.482 -1.330 6.319
5.146 -1.388 3.715
3.482 -3.782 6.217
```

Output
As for the size of the total moment: 0.00 μB/cell. As for the calculated volume: 203 Å³/cell.

#Q
The following is a PBE-GGA calculation of a geometry-optimized BrF5 structure, from Alexandria.

Geometry as POSCAR:
```
BrF5
1.0
-3.330 3.330 2.093
3.330 -3.330 2.093
3.330 3.330 -2.093
Br F
1 5
Cartesian
0.000 0.000 0.000
1.777 0.448 0.000
2.882 -1.553 2.093
0.000 0.000 2.093
0.448 4.883 0.000
1.553 2.882 2.093
```

Output
As for the size of the total moment: 0.00 μB/cell. As for the calculated volume: 93 Å³/cell.

Stability ranking, top and bottom: #P is the most stable and #Q is the least stable.

#P
The following is a PBE-GGA calculation of a geometry-optimized BrF3 structure, from Alexandria.

Geometry as POSCAR:
```
BrF3
1.0
2.959 -4.083 0.000
2.959 4.083 0.000
0.000 0.000 6.037
Br F
2 6
Cartesian
2.959 2.744 3.018
2.959 -2.744 0.000
2.959 3.632 4.972
2.959 1.862 1.442
2.959 1.163 3.908
2.959 -1.163 0.890
2.959 -1.862 4.460
2.959 -3.632 1.954
```

Output
As for the size of the total moment: 0.00 μB/cell. As for the calculated volume: 146 Å³/cell.

#Q
The following is a PBE-GGA calculation of a geometry-optimized BrF3 structure, from Alexandria.

Geometry as POSCAR:
```
BrF3
1.0
0.000 2.866 2.866
2.866 0.000 2.866
2.866 2.866 0.000
Br F
1 3
Cartesian
0.000 0.000 0.000
1.433 1.433 1.433
2.866 2.866 2.866
4.298 4.298 4.298
```

Output
As for the size of the total moment: 1.49 μB/cell. As for the calculated volume: 47 Å³/cell.

#R
The following is a PBE-GGA calculation of a geometry-optimized BrF3 structure, from Alexandria.

Geometry as POSCAR:
```
BrF3
1.0
1.595 0.921 8.356
-1.595 0.921 8.356
0.000 -1.842 8.356
Br F
1 3
Cartesian
0.000 0.000 0.000
0.000 0.000 1.845
0.000 0.000 12.534
0.000 0.000 23.222
```

Output
As for the size of the total moment: 1.11 μB/cell. As for the calculated volume: 74 Å³/cell.

Stability ranking, top and bottom: #P is the most stable and #Q is the least stable.

#P
The following is a PBE-GGA calculation of a geometry-optimized BrF3 structure, from Alexandria.

Geometry as POSCAR:
```
BrF3
1.0
1.614 0.932 7.133
-1.614 0.932 7.133
0.000 -1.864 7.133
Br F
1 3
Cartesian
0.000 0.000 0.000
0.000 0.000 8.988
0.000 0.000 10.700
0.000 0.000 12.412
```

Output
As for the size of the total moment: 1.58 μB/cell. As for the calculated volume: 64 Å³/cell.

#Q
The following is a PBE-GGA calculation of a geometry-optimized BrF3 structure, from Alexandria.

Geometry as POSCAR:
```
BrF3
1.0
-1.980 1.980 7.146
1.980 -1.980 7.146
1.980 1.980 -7.146
Br F
2 6
Cartesian
0.000 0.000 0.000
0.000 1.980 3.573
2.970 0.625 -1.786
1.980 0.000 3.573
0.625 0.990 1.786
0.000 0.000 7.146
-0.990 1.355 5.359
1.355 0.990 8.932
```

Output
As for the size of the total moment: 0.00 μB/cell. As for the calculated volume: 112 Å³/cell.

Stability ranking, top and bottom: #Q is the most stable and #P is the least stable.